## Zr2TlCr (PBE)

Data for Zr2TlCr after structural relaxation.

Unit cell a=3.293 b=3.293 c=7.722 alpha=90.00 beta=90.00 gamma=90.00
Space group P4mm (No. 99)
Unique sites:
1 Zr 0.000 0.000 0.000 [1 per cell]
2 Zr 0.500 0.500 0.281 [1 per cell]
3 Tl 0.500 0.500 0.721 [1 per cell]
4 Cr 0.000 0.000 0.495 [1 per cell]

Computed properties:
Its total energy is -28.335 eV/f.u. Its formation enthalpy at 0 K is 0.19 eV/atom. As for the energy above the lowest structure with this stoichiometry: 137.8 meV per atom.